(1)
Compound: TlVCd2O4
Source: Alexandria via LeMat-Bulk
Functional: PBE with a Hubbard U
Structure: optimized geometry

M_tot	2.00	μB/cell
crystal system	tetragonal
space-group type	I-42m
energy	-5.11	eV/atom

a = 6.021 Å, b = 6.021 Å, c = 6.021 Å
α = 126.39°, β = 126.39°, γ = 79.25°
Element x y z (fractional)
Tl 0.000 0.000 0.000
V 0.500 0.500 0.000
Cd 0.250 0.750 0.500
Cd 0.750 0.250 0.500
O 0.173 0.173 0.605
O 0.432 0.827 0.000
O 0.568 0.568 0.395
O 0.827 0.432 0.000


(2)
Compound: NbCoRe2F
Source: Alexandria via LeMat-Bulk
Functional: PBE with a Hubbard U
Structure: optimized geometry

M_tot	2.17	μB/cell
crystal system	tetragonal
density of states at the Fermi level	5.032	states/eV/cell
space-group type	P4/mmm
energy	-7.13	eV/atom

a = 4.867 Å, b = 4.867 Å, c = 3.918 Å
α = 90.00°, β = 90.00°, γ = 90.00°
Element x y z (fractional)
Nb 0.000 0.000 0.000
Co 0.500 0.500 0.500
Re 0.000 0.500 0.000
Re 0.500 0.000 0.000
F 0.000 0.000 0.500